Compound: Cu3Mo
Source: Alexandria via LeMat-Bulk
Functional: PBE
Structure: relaxed

abc: 5.6483 5.6483 3.3074
angles: 90.00 90.00 89.21
Last column: nearest neighbours and their distance in Å.
Sites, in units of the cell vectors:
Cu  0.1180  0.8820  0.2500  8 Cu 2.50-2.73, 2 Mo 2.69
Cu  0.8820  0.1180  0.7500  8 Cu 2.50-2.73, 2 Mo 2.69
Cu  0.1102  0.3654  0.2500  7 Cu 2.53-2.73, 3 Mo 2.68-2.80
Cu  0.8898  0.6346  0.7500  7 Cu 2.53-2.73, 3 Mo 2.68-2.80
Cu  0.3654  0.1102  0.7500  7 Cu 2.53-2.73, 3 Mo 2.68-2.80
Cu  0.6346  0.8898  0.2500  7 Cu 2.53-2.73, 3 Mo 2.68-2.80
Mo  0.6145  0.3855  0.2500  2 Mo 2.46, 6 Cu 2.68-2.69
Mo  0.3855  0.6145  0.7500  2 Mo 2.46, 6 Cu 2.68-2.69

The calculation puts the total moment at 0.0 μB per cell. For the formation energy from the elements, the calculation gives 0.1706 eV/atom.



Compound: Sc2CdCu
Source: Alexandria via LeMat-Bulk
Functional: PBE
Structure: relaxed

abc: 3.4324 3.4324 6.8124
angles: 90.00 90.00 90.00
Last column: nearest neighbours and their distance in Å.
Sites, in units of the cell vectors:
Cd  0.0000  0.0000  0.5252  4 Cu 2.87, 5 Sc 2.98-3.02
Cu  0.5000  0.5000  0.7508  4 Sc 2.82, 4 Cd 2.87
Sc  0.0000  0.0000  0.9625  4 Cu 2.82, 1 Cd 2.98
Sc  0.5000  0.5000  0.2615  4 Cd 3.02, 4 Sc 3.17, 1 Cu 3.33

The calculation puts the total moment at 1.2 μB per cell. For the formation energy from the elements, the calculation gives -0.1361 eV/atom.



Compound: Nb2VHgRh
Source: Alexandria via LeMat-Bulk
Functional: PBE
Structure: relaxed

abc: 4.8649 4.5173 4.8649
angles: 90.00 90.00 90.00
Last column: nearest neighbours and their distance in Å.
Sites, in units of the cell vectors:
Nb  0.0000  0.0000  0.5000  2 Rh 2.43
Nb  0.5000  0.0000  0.0000  2 Rh 2.43
Rh  0.0000  0.0000  0.0000  2 V 2.26, 4 Nb 2.43
Hg  0.5000  0.5000  0.5000  8 Nb 3.32, 4 V 3.44
V  0.0000  0.5000  0.0000  2 Rh 2.26

The calculation puts the total moment at 0.0 μB per cell. For the formation energy from the elements, the calculation gives 0.9236 eV/atom.



Q: Which of these has the highest total moment?
A: Sc2CdCu